1.
DFT (PBE) results for crystalline ZnPb2Br at its relaxed geometry.

Geometry as extended XYZ:
```
4
Lattice="-4.558 3.925 3.012 -6.503 0.281 -1.698 4.900 -4.398 1.379" Properties=species:S:1:pos:R:3 pbc="T T T"
Br -2.595 0.815 2.524
Pb 0.000 0.000 0.000
Pb -3.567 -1.007 0.169
Zn -5.531 2.103 0.657
```

## Properties
Formation energy without anion corrections ... 0.015 eV/atom
Mass density ... 7.96 g/cm3
M_tot ... 0.0 μB/cell
Calculated volume ... 116.81 Å³ per cell
Energy above the most stable polymorph in this dataset ... 171 meV per atom



2.
DFT (PBE) results for crystalline ZnPbBr2 at its relaxed geometry.

Geometry as extended XYZ:
```
4
Lattice="-3.489 4.545 -1.306 -5.019 2.565 1.664 -0.357 6.830 4.370" Properties=species:S:1:pos:R:3 pbc="T T T"
Br -7.722 6.583 0.412
Br -7.184 9.783 2.823
Pb -4.697 7.932 2.870
Zn -2.204 3.720 1.345
```

## Properties
Formation energy without anion corrections ... -0.439 eV/atom
Mass density ... 5.09 g/cm3
M_tot ... 0.0 μB/cell
Calculated volume ... 141.11 Å³ per cell
Energy above the most stable polymorph in this dataset ... 46 meV per atom



3.
DFT (PBE) results for crystalline ZnPbBr2 at its relaxed geometry.

Geometry as extended XYZ:
```
4
Lattice="-1.621 4.516 1.793 -2.245 -2.373 3.945 3.595 0.386 2.278" Properties=species:S:1:pos:R:3 pbc="T T T"
Br 0.000 0.000 0.000
Br -1.933 1.072 2.869
Pb 0.987 2.451 2.036
Zn 0.675 -0.993 3.112
```

## Properties
Formation energy without anion corrections ... -0.248 eV/atom
Mass density ... 6.40 g/cm3
M_tot ... 0.0 μB/cell
Calculated volume ... 112.12 Å³ per cell
Energy above the most stable polymorph in this dataset ... 237 meV per atom



4.
DFT (PBE) results for crystalline ZnPbBr2 at its relaxed geometry.

Geometry as extended XYZ:
```
4
Lattice="-2.304 1.462 2.656 -0.115 -3.376 1.759 7.368 2.392 5.074" Properties=species:S:1:pos:R:3 pbc="T T T"
Br 0.436 0.142 0.300
Br 3.248 1.054 2.237
Pb 0.632 -0.359 3.476
Zn 4.316 0.837 6.013
```

## Properties
Formation energy without anion corrections ... -0.335 eV/atom
Mass density ... 5.35 g/cm3
M_tot ... 0.0 μB/cell
Calculated volume ... 134.31 Å³ per cell
Energy above the most stable polymorph in this dataset ... 150 meV per atom



5.
DFT (PBE) results for crystalline ZnPb4Br at its relaxed geometry.

Geometry as extended XYZ:
```
6
Lattice="0.000 4.597 4.597 4.597 0.000 4.597 4.597 4.597 0.000" Properties=species:S:1:pos:R:3 pbc="T T T"
Zn 6.895 6.895 6.895
Pb 3.455 5.739 5.739
Pb 5.739 5.739 3.455
Pb 5.739 3.455 5.739
Pb 3.455 3.455 3.455
Br 0.000 0.000 0.000
```

## Properties
Formation energy without anion corrections ... 0.183 eV/atom
Mass density ... 8.33 g/cm3
M_tot ... 0.0 μB/cell
Calculated volume ... 194.29 Å³ per cell



6.
DFT (PBE) results for crystalline ZnPb2Br at its relaxed geometry.

Geometry as extended XYZ:
```
4
Lattice="-0.303 3.158 1.439 -3.087 -0.906 1.338 4.190 -3.057 7.593" Properties=species:S:1:pos:R:3 pbc="T T T"
Br 1.174 -0.967 6.588
Pb 0.048 -0.035 0.086
Pb -0.497 0.252 3.560
Zn 2.170 -1.584 3.933
```

## Properties
Formation energy without anion corrections ... -0.043 eV/atom
Mass density ... 8.33 g/cm3
M_tot ... 0.0 μB/cell
Calculated volume ... 111.62 Å³ per cell
Energy above the most stable polymorph in this dataset ... 114 meV per atom



Question: M_tot of number 3 (ZnPbBr2)?
Answer: 0.0 μB/cell



Question: Which value of calculated volume does entry 6 give?
Answer: 111.62 Å³ per cell



Please write out number 6 again, unchanged.
DFT (PBE) results for crystalline ZnPb2Br at its relaxed geometry.

Geometry as extended XYZ:
```
4
Lattice="-0.303 3.158 1.439 -3.087 -0.906 1.338 4.190 -3.057 7.593" Properties=species:S:1:pos:R:3 pbc="T T T"
Br 1.174 -0.967 6.588
Pb 0.048 -0.035 0.086
Pb -0.497 0.252 3.560
Zn 2.170 -1.584 3.933
```

## Properties
Formation energy without anion corrections ... -0.043 eV/atom
Mass density ... 8.33 g/cm3
M_tot ... 0.0 μB/cell
Calculated volume ... 111.62 Å³ per cell
Energy above the most stable polymorph in this dataset ... 114 meV per atom